<one>
Entry from Alexandria via LeMat-Bulk: a relaxed CaZrTa2 crystal (PBEsol).

```
CaZrTa2
1.0
2.983 0.000 -0.039
0.000 4.676 0.000
-1.314 0.000 6.306
Zr Ta Ca
1 2 1
direct
0.491 0.000 0.446
0.806 0.500 0.244
0.964 0.000 0.046
0.239 0.500 0.764
```

Output
size of the total moment: 0.0 μB/f.u.
DOS at the Fermi energy: 3.404 states/eV/f.u.

---

<two>
Entry from Alexandria via LeMat-Bulk: a relaxed CaZrTa2 crystal (PBEsol).

```
CaZrTa2
1.0
2.755 0.027 0.048
-0.589 5.865 0.009
-0.589 -2.968 5.058
Ca Ta Zr
1 2 1
direct
0.500 0.000 0.000
0.000 0.000 0.500
0.000 0.500 0.000
0.500 0.500 0.500
```

Output
size of the total moment: 0.0 μB/f.u.
DOS at the Fermi energy: 5.890 states/eV/f.u.

---

Which structure is the least stable? The one labeled <two>.

---

<one>
Entry from Alexandria via LeMat-Bulk: a relaxed CaZrTa2 crystal (PBEsol).

```
CaZrTa2
1.0
2.896 0.000 -0.021
0.000 4.878 0.000
-1.297 0.000 6.142
Ta Ca Zr
2 1 1
direct
0.955 0.000 0.206
0.045 0.000 0.794
0.500 0.500 0.500
0.500 0.500 0.000
```

Output
size of the total moment: 0.0 μB/f.u.
DOS at the Fermi energy: 5.604 states/eV/f.u.

---

<two>
Entry from Alexandria via LeMat-Bulk: a relaxed CaZrTa2 crystal (PBEsol).

```
CaZrTa2
1.0
-2.328 -3.059 -0.047
3.488 -2.648 -0.330
0.256 -0.270 4.873
Zr Ta Ca
1 2 1
direct
0.500 0.000 0.500
0.500 0.500 0.000
0.000 0.000 0.000
0.000 0.500 0.500
```

Output
size of the total moment: 0.0 μB/f.u.
DOS at the Fermi energy: 4.363 states/eV/f.u.

---

Which structure is the least stable? The one labeled <two>.

---

<one>
Entry from Alexandria via LeMat-Bulk: a relaxed CaZr2Ta crystal (PBEsol).

```
CaZr2Ta
1.0
-2.320 -0.616 -1.918
-2.425 -3.043 3.910
-1.738 5.218 0.427
Zr Ca Ta
2 1 1
direct
0.000 0.500 0.000
0.000 0.000 0.500
0.500 0.000 0.000
0.500 0.500 0.500
```

Output
size of the total moment: 0.0 μB/f.u.
DOS at the Fermi energy: 5.273 states/eV/f.u.

---

<two>
Entry from Alexandria via LeMat-Bulk: a relaxed CaZr2Ta crystal (PBEsol).

```
CaZr2Ta
1.0
-2.044 -2.091 0.872
2.200 -0.263 4.526
-2.541 5.425 1.550
Zr Ta Ca
2 1 1
direct
0.795 0.500 0.212
0.147 0.000 0.991
0.111 0.500 0.782
0.446 0.000 0.515
```

Output
size of the total moment: 0.0 μB/f.u.
DOS at the Fermi energy: 4.390 states/eV/f.u.

---

Which structure is the least stable? The one labeled <one>.